Material: Sc2Mo4S3N3
Method: DFT, PBE
State: optimized geometry

Lattice parameters (Å, degrees): 9.7300 5.7532 11.8350 90.00 106.20 90.00
With the nearest neighbours (Å) after each atom.
Space group C2/c (No. 15)
Unique sites:
1 Sc 0.0561 0.0869 0.3979 x8  3 N 2.15-2.22
2 Mo 0.1036 0.4383 0.5946 x8  3 N 2.14-2.31
3 Mo 0.1956 0.4288 0.9089 x8  3 N 2.10-2.33
4 S 0.0000 0.4214 0.2500 x4  4 Mo 2.43-2.47, 2 Sc 2.56
5 S 0.1730 0.1094 0.7508 x8  4 Mo 2.59-2.76, 2 Sc 2.59-2.67
6 N 0.0810 0.2367 0.0034 x8  4 Mo 2.10-2.33, 2 Sc 2.18-2.22
7 N 0.2500 0.2500 0.5000 x4  4 Mo 2.13-2.31, 2 Sc 2.15

Material: NdHoAg2Sn2
Method: DFT, PBE
State: optimized geometry

Lattice parameters (Å, degrees): 4.7576 4.7576 7.4615 90.00 90.00 120.00
With the nearest neighbours (Å) after each atom.
Space group P3m1 (No. 156)
Unique sites:
1 Nd 0.0000 0.0000 0.0000 x1  3 Ag 3.15, 6 Sn 3.22-3.47
2 Ho 0.0000 0.0000 0.5013 x1  3 Ag 3.07, 6 Sn 3.19-3.42
3 Ag 0.3333 0.6667 0.2065 x1  3 Sn 2.81
4 Ag 0.6667 0.3333 0.6857 x1  4 Sn 2.82-2.99, 3 Ho 3.07
5 Sn 0.3333 0.6667 0.7738 x1  3 Ag 2.82
6 Sn 0.6667 0.3333 0.2847 x1  4 Ag 2.81-2.99

| no. | volume (Å³/atom) | E (eV per atom) |
| --- | --- | --- |
| 1 | 13.254 | -8.59 |
| 2 | 24.377 | -4.44 |